1.
Entry from Alexandria: a relaxed Zr2FeReSi crystal (GGA-PBE).

Properties
* uncorrected formation energy: 0.62 eV/atom
* space group: P4/mmm (123)

```
Zr2FeReSi
1.0
4.9061 0.0000 0.0000
0.0000 4.9061 0.0000
0.0000 0.0000 3.9838
Zr Fe Re Si
2 1 1 1
Direct
0.0000 0.5000 0.0000 Zr
0.5000 0.0000 0.0000 Zr
0.0000 0.0000 0.5000 Fe
0.5000 0.5000 0.5000 Re
0.0000 0.0000 0.0000 Si
```

---

2.
Entry from Alexandria: a relaxed SmFe10Re2 crystal (GGA-PBE).

Properties
* space group: Immm (71)
* total energy: -114.39 eV per cell

```
SmFe10Re2
1.0
-2.3453 4.2545 4.3420
2.3453 -4.2545 4.3420
2.3453 4.2545 -4.3420
Sm Fe Re
1 10 2
Direct
0.0000 0.0000 0.0000 Sm
0.0000 0.0000 0.5000 Fe
0.0000 0.5000 0.0000 Fe
0.2218 0.5000 0.7218 Fe
0.2331 0.7331 0.5000 Fe
0.3591 0.0000 0.3591 Fe
0.5000 0.0000 0.0000 Fe
0.5000 0.5000 0.5000 Fe
0.6409 0.0000 0.6409 Fe
0.7669 0.2669 0.5000 Fe
0.7782 0.5000 0.2782 Fe
0.3587 0.3587 0.0000 Re
0.6413 0.6413 0.0000 Re
```

---

3.
Entry from Alexandria: a relaxed FeReSn3 crystal (GGA-PBE).

Properties
* offset from the most stable computed form: 93.4 kJ/mol of formula units
* space group: Pm-3m (221)

```
FeReSn3
1.0
4.8598 0.0000 0.0000
0.0000 4.8598 0.0000
0.0000 0.0000 4.8598
Fe Re Sn
1 1 3
Direct
0.0000 0.0000 0.0000 Fe
0.5000 0.5000 0.5000 Re
0.0000 0.0000 0.5000 Sn
0.0000 0.5000 0.0000 Sn
0.5000 0.0000 0.0000 Sn
```

---

4.
Entry from Alexandria: a relaxed FeReSn3 crystal (GGA-PBE).

Properties
* offset from the most stable computed form: 0.0 kJ/mol of formula units
* space group: Pm-3m (221)

```
FeReSn3
1.0
5.1815 0.0000 0.0000
0.0000 5.1815 0.0000
0.0000 0.0000 5.1815
Fe Re Sn
1 1 3
Direct
0.0000 0.0000 0.0000 Fe
0.5000 0.5000 0.5000 Re
0.0000 0.5000 0.5000 Sn
0.5000 0.0000 0.5000 Sn
0.5000 0.5000 0.0000 Sn
```

---

5.
Entry from Alexandria: a relaxed FeReSn2 crystal (GGA-PBE).

Properties
* offset from the most stable computed form: 0.0 kJ/mol of formula units
* space group: Fm-3m (225)

```
FeReSn2
1.0
0.0000 3.2240 3.2240
3.2240 0.0000 3.2240
3.2240 3.2240 0.0000
Fe Re Sn
1 1 2
Direct
0.0000 0.0000 0.0000 Fe
0.5000 0.5000 0.5000 Re
0.2500 0.2500 0.2500 Sn
0.7500 0.7500 0.7500 Sn
```

---

6.
Entry from Alexandria: a relaxed FeReSn2 crystal (GGA-PBE).

Properties
* offset from the most stable computed form: 226.9 kJ/mol of formula units
* space group: I-42d (122)

```
FeReSn2
1.0
-3.6463 3.6463 2.7912
3.6463 -3.6463 2.7912
3.6463 3.6463 -2.7912
Fe Re Sn
2 2 4
Direct
0.0000 0.0000 0.0000 Fe
0.7500 0.2500 0.5000 Fe
0.2500 0.7500 0.5000 Re
0.5000 0.5000 0.0000 Re
0.1006 0.6250 0.9756 Sn
0.3750 0.3506 0.4756 Sn
0.6494 0.1250 0.0244 Sn
0.8750 0.8994 0.5244 Sn
```

---

7.
Entry from Alexandria: a relaxed Zr2FeReSn crystal (GGA-PBE).

Properties
* space group: P4/mmm (123)
* total energy: -33.86 eV per cell

```
Zr2FeReSn
1.0
5.2094 0.0000 0.0000
0.0000 5.2094 0.0000
0.0000 0.0000 4.4653
Zr Fe Re Sn
2 1 1 1
Direct
0.0000 0.5000 0.0000 Zr
0.5000 0.0000 0.0000 Zr
0.0000 0.0000 0.5000 Fe
0.5000 0.5000 0.5000 Re
0.0000 0.0000 0.0000 Sn
```

---

8.
Entry from Alexandria: a relaxed Sr2FeRe crystal (GGA-PBE).

Properties
* offset from the most stable computed form: 120.7 kJ/mol of formula units
* space group: Imm2 (44)

```
Sr2FeRe
1.0
-1.8548 2.6194 5.4893
1.8548 -2.6194 5.4893
1.8548 2.6194 -5.4893
Sr Fe Re
2 1 1
Direct
0.0000 0.0000 0.0000 Sr
0.7169 0.2169 0.5000 Sr
0.2972 0.7972 0.5000 Fe
0.4102 0.4102 0.0000 Re
```

---

| no. | V (Å³ per atom) |
| --- | --- |
| 1 | 19.178 |
| 2 | 13.331 |
| 3 | 22.955 |
| 4 | 27.822 |
| 5 | 16.755 |
| 6 | 18.555 |
| 7 | 24.235 |
| 8 | 26.669 |